[1]
Compound: LiTi2V3O10
Source: Alexandria via LeMat-Bulk
Functional: meta-GGA SCAN
Structure: single point on PBEsol structure

Geometry as extended XYZ:
```
16
Lattice="4.8260 -0.0293 0.0359 0.8804 4.7922 0.0254 1.8112 1.7088 7.4199" Properties=species:S:1:pos:R:3 pbc="T T T"
O 2.6582 3.6995 5.2729
O 4.0249 0.4426 1.0562
V 6.6016 3.0445 6.7742
Ti 2.1751 5.4852 5.0479
O 2.3280 4.0847 1.6156
O 3.4226 6.0344 6.5740
O 5.8304 4.7115 7.0390
Li 3.7354 2.5512 4.0808
V 3.3596 4.6790 0.0780
O 5.5766 5.1648 3.9059
Ti 0.7591 0.9181 2.3557
O 5.1482 2.2302 5.8201
O 4.8198 2.7352 2.3137
O 2.1427 1.3450 3.5437
V 5.5240 3.3652 0.8909
O 1.5310 1.6511 0.4766
```

Computed properties:
D(E_F) = 0.22 states/eV/cell
Magnetic moment = 2.02 μB per cell
Raw formation energy = -2783 meV per atom
Energy = -193.753 eV per cell
Space-group type = P1 (1)

[2]
Compound: LiTiVO4
Source: Alexandria via LeMat-Bulk
Functional: meta-GGA SCAN
Structure: single point on PBEsol structure

Geometry as extended XYZ:
```
14
Lattice="5.8587 0.0000 0.0000 2.9293 5.0179 0.0174 2.9293 1.6697 4.7320" Properties=species:S:1:pos:R:3 pbc="T T T"
O 4.2313 2.4512 3.5140
Li 1.4647 2.5090 0.0087
V 2.9293 3.3438 2.3747
O 2.9293 1.6816 1.3020
V 0.0000 0.0000 0.0000
O 7.4861 4.2364 1.2355
O 5.8587 5.1271 3.5335
O 8.7880 5.0060 3.4475
O 7.4861 2.4512 3.5140
O 5.8587 1.5605 1.2159
Li 4.3940 2.5090 0.0087
Ti 4.3940 0.8348 2.3660
Ti 1.4647 0.8348 2.3660
O 4.2313 4.2364 1.2355
```

Computed properties:
D(E_F) = 3.90 states/eV/cell
Magnetic moment = 3.64 μB per cell
Raw formation energy = -2802 meV per atom
Energy = -160.893 eV per cell
Space-group type = Imma (74)
Offset from the most stable computed form = 29 meV/atom

[3]
Compound: Li4TiV3O10
Source: Alexandria via LeMat-Bulk
Functional: meta-GGA SCAN
Structure: single point on PBEsol structure

Geometry as extended XYZ:
```
18
Lattice="4.4858 0.0000 0.0000 0.0000 6.5814 0.0000 0.0000 0.0000 6.5814" Properties=species:S:1:pos:R:3 pbc="T T T"
V 1.7726 3.2907 0.0000
O 3.2893 1.8543 3.2907
O 1.1644 5.1206 0.0000
Li 0.0000 4.9236 1.6578
O 3.3214 0.0000 5.1206
O 1.0548 0.0000 3.2907
O 3.4309 3.2907 0.0000
Ti 2.2429 0.0000 0.0000
O 3.2893 4.7271 3.2907
Li 0.0000 1.6578 1.6578
O 1.1644 1.4608 0.0000
V 2.7132 0.0000 3.2907
O 1.1964 3.2907 1.8543
Li 0.0000 4.9236 4.9236
V 2.2429 3.2907 3.2907
O 1.1964 3.2907 4.7271
Li 0.0000 1.6578 4.9236
O 3.3214 0.0000 1.4608
```

Computed properties:
Magnetic moment = 3.00 μB per cell
Raw formation energy = -2670 meV per atom
Energy = -188.418 eV per cell
Space-group type = P-4m2 (115)

- magnetic moment of number 2 (LiTiVO4)?
  3.64 μB per cell

- What is the formula in the third record?
  Li4TiV3O10

- magnetic moment of number 3 (Li4TiV3O10)?
  3.00 μB per cell

- The highest energy belongs to which entry?
  LiTiVO4